Record 1
# CdPd4Se8, optimized geometry, DFT GGA-PBE
# uncorrected formation energy	-3.533	eV per formula unit
# Fermi-level density of states	6.73	states/eV/f.u.
# E_tot	-4.084	eV/atom
data_CdPd4Se8
_symmetry_space_group_name_H-M 'F -4 3 m'
_symmetry_Int_Tables_number 216
_symmetry_space_group_name_Hall 'F -4 2 3'
_cell_length_a 10.8255
_cell_length_b 10.8255
_cell_length_c 10.8255
_cell_angle_alpha 90.00
_cell_angle_beta 90.00
_cell_angle_gamma 90.00
loop_
_atom_site_label
_atom_site_type_symbol
_atom_site_fract_x
_atom_site_fract_y
_atom_site_fract_z
Cd1 Cd 0.0000 0.0000 0.0000
Pd1 Pd 0.1210 0.1210 0.3790
Se1 Se 0.1119 0.1119 0.6119
Se2 Se 0.1418 0.1418 0.1418

---

Record 2
# Cd3PdSe, optimized geometry, DFT GGA-PBE
# relative energy among the computed polymorphs	451.5	meV per atom
# uncorrected formation energy	2.874	eV per formula unit
# Fermi-level density of states	4.81	states/eV/f.u.
# E_tot	-1.710	eV/atom
data_Cd3PdSe
_symmetry_space_group_name_H-M 'P m -3 m'
_symmetry_Int_Tables_number 221
_symmetry_space_group_name_Hall '-P 4 2 3'
_cell_length_a 5.2773
_cell_length_b 5.2773
_cell_length_c 5.2773
_cell_angle_alpha 90.00
_cell_angle_beta 90.00
_cell_angle_gamma 90.00
loop_
_atom_site_label
_atom_site_type_symbol
_atom_site_fract_x
_atom_site_fract_y
_atom_site_fract_z
Cd1 Cd 0.0000 0.0000 0.5000
Pd1 Pd 0.5000 0.5000 0.5000
Se1 Se 0.0000 0.0000 0.0000

---

Record 3
# CdPd2Se4, optimized geometry, DFT GGA-PBE
# uncorrected formation energy	-2.165	eV per formula unit
# Fermi-level density of states	4.04	states/eV/f.u.
# E_tot	-3.915	eV/atom
data_CdPd2Se4
_symmetry_space_group_name_H-M 'C 1 2/m 1'
_symmetry_Int_Tables_number 12
_symmetry_space_group_name_Hall '-C 2y'
_cell_length_a 13.4653
_cell_length_b 7.7742
_cell_length_c 7.7664
_cell_angle_alpha 90.00
_cell_angle_beta 125.18
_cell_angle_gamma 90.00
loop_
_atom_site_label
_atom_site_type_symbol
_atom_site_fract_x
_atom_site_fract_y
_atom_site_fract_z
Cd1 Cd 0.1242 0.0000 0.3753
Pd1 Pd 0.0000 0.5000 0.0000
Pd2 Pd 0.0000 0.5000 0.5000
Pd3 Pd 0.2500 0.2500 0.0000
Se1 Se 0.0177 0.2836 0.7673
Se2 Se 0.2330 0.5000 0.1987
Se3 Se 0.2333 0.5000 0.7655

---

Record 4
# CdPd8Se2, optimized geometry, DFT GGA-PBE
# uncorrected formation energy	-2.149	eV per formula unit
# Fermi-level density of states	6.28	states/eV/f.u.
# E_tot	-4.689	eV/atom
data_CdPd8Se2
_symmetry_space_group_name_H-M 'P 1'
_symmetry_Int_Tables_number 1
_symmetry_space_group_name_Hall 'P 1'
_cell_length_a 4.9084
_cell_length_b 5.8970
_cell_length_c 7.2978
_cell_angle_alpha 110.20
_cell_angle_beta 105.37
_cell_angle_gamma 100.06
loop_
_atom_site_label
_atom_site_type_symbol
_atom_site_fract_x
_atom_site_fract_y
_atom_site_fract_z
Cd1 Cd 0.0000 0.0000 0.0000
Pd1 Pd 0.1623 0.4466 0.3493
Pd2 Pd 0.1647 0.9445 0.3942
Pd3 Pd 0.1781 0.5775 0.0001
Pd4 Pd 0.3765 0.8472 0.7662
Pd5 Pd 0.6105 0.0816 0.2343
Pd6 Pd 0.6485 0.3604 0.0007
Pd7 Pd 0.7708 0.5518 0.6060
Pd8 Pd 0.8137 0.0992 0.6514
Se1 Se 0.3128 0.3805 0.6818
Se2 Se 0.6302 0.7000 0.3188